Material: Fe6O11F
Method: DFT, PBE with a Hubbard U
State: optimized geometry

The space group is Amm2 (No. 38) and the conventional cell measures 8.962, 6.431 and 6.581 Å, with angles of 90.00, 90.00 and 90.00 degrees. The distinct sites, in fractional coordinates, are Fe at (0.000, 0.000, 0.000), Fe at (0.168, 0.000, 0.501), Fe at (0.327, 0.000, 0.005), Fe at (0.500, 0.000, 0.479), O at (0.000, 0.191, 0.502), O at (0.161, 0.000, 0.194), O at (0.163, 0.000, 0.810), O at (0.333, 0.192, 0.496), O at (0.500, 0.000, 0.181) and F at (0.500, 0.000, 0.797).

As for the total moment: 46.70 μB/cell. The value obtained for the density of states at the Fermi level is 0.36 states/eV/atom. For the total energy, the calculation gives -6.1062 eV/atom. The excess energy over the best structure of this formula in the dataset is 11 meV/atom.